Density functional theory data (PBE) for NaIn7Hg3 after structural relaxation.

The value obtained for the energy is -1.965 eV/atom.

It has space group P3m1 (No. 156), with a = 6.8160 Å, b = 6.8160 Å, c = 7.4436 Å, α = 90.00°, β = 90.00° and γ = 120.00°. Symmetry generates all atoms from Na at (0.0000, 0.0000, 0.0000), In at (0.0179, 0.5089, 0.9799), In at (0.1750, 0.3500, 0.3532), In at (0.6667, 0.3333, 0.3104) and Hg at (0.3366, 0.1683, 0.6669).

---

Density functional theory data (PBE) for Hf3ZrGa2 after structural relaxation.

The value obtained for the energy is -7.695 eV/atom.

It has space group Cmmm (No. 65), with a = 4.919 Å, b = 14.817 Å, c = 3.263 Å, α = 90.00°, β = 90.00° and γ = 90.00°. Symmetry generates all atoms from Hf at (0.000, 0.000, 0.000), Hf at (0.000, 0.322, 0.000), Zr at (0.000, 0.500, 0.500) and Ga at (0.000, 0.156, 0.500).

---

Density functional theory data (PBE) for BaB2H after structural relaxation.

As for the offset from the most stable computed form: 6.10 eV per formula unit.

It has space group Fm-3m (No. 225), with a = 6.570 Å, b = 6.570 Å, c = 6.570 Å, α = 90.00°, β = 90.00° and γ = 90.00°. Symmetry generates all atoms from Ba at (0.000, 0.000, 0.000), B at (0.250, 0.250, 0.250) and H at (0.000, 0.000, 0.500).

---

Density functional theory data (PBE) for CaMg2CdH after structural relaxation.

The value obtained for the energy is -2.057 eV/atom.

It has space group P4/mmm (No. 123), with a = 4.639 Å, b = 4.639 Å, c = 4.651 Å, α = 90.00°, β = 90.00° and γ = 90.00°. Symmetry generates all atoms from Ca at (0.000, 0.000, 0.000), Mg at (0.000, 0.500, 0.500), Cd at (0.500, 0.500, 0.000) and H at (0.000, 0.000, 0.500).

---

Density functional theory data (PBE) for CeIn4Pd after structural relaxation.

The value obtained for the energy is -4.122 eV/atom.

It has space group P2_1/m (No. 11), with a = 4.583 Å, b = 7.352 Å, c = 8.888 Å, α = 90.00°, β = 105.07° and γ = 90.00°. Symmetry generates all atoms from Ce at (0.118, 0.250, 0.236), In at (0.068, 0.750, 0.136), In at (0.317, 0.046, 0.634), In at (0.500, 0.000, 0.000) and Pd at (0.224, 0.750, 0.447).

---

Density functional theory data (PBE) for Ca2Al12Cu7 after structural relaxation.

The value obtained for the energy is -3.935 eV/atom.

It has space group P-3 (No. 147), with a = 10.0727 Å, b = 10.0727 Å, c = 3.9656 Å, α = 90.00°, β = 90.00° and γ = 120.00°. Symmetry generates all atoms from Ca at (0.3333, 0.6667, 0.2573), Al at (0.0479, 0.4323, 0.7517), Al at (0.1158, 0.2664, 0.2550), Cu at (0.0000, 0.0000, 0.5000) and Cu at (0.1212, 0.7114, 0.7552).

---

Density functional theory data (PBE) for Ba2SrInRh after structural relaxation.

As for the offset from the most stable computed form: 0.00 eV per formula unit.

It has space group P4/mmm (No. 123), with a = 6.062 Å, b = 6.062 Å, c = 5.420 Å, α = 90.00°, β = 90.00° and γ = 90.00°. Symmetry generates all atoms from Ba at (0.000, 0.500, 0.000), Sr at (0.000, 0.000, 0.500), In at (0.500, 0.500, 0.500) and Rh at (0.500, 0.500, 0.000).

---

Density functional theory data (PBE) for TbZrPa2N6 after structural relaxation.

The uncorrected formation energy is -1423 meV per atom.

It has space group R3 (No. 146, hexagonal axes), with a = 5.8713 Å, b = 5.8713 Å, c = 14.9402 Å, α = 90.00°, β = 90.00° and γ = 120.00°. Symmetry generates all atoms from Tb at (0.0000, 0.0000, 0.0000), Zr at (0.0000, 0.0000, 0.4910), Pa at (0.0000, 0.0000, 0.2730), Pa at (0.0000, 0.0000, 0.7762), N at (0.0213, 0.7311, 0.3806) and N at (0.0375, 0.3646, 0.5438).